The following is a PBE-GGA calculation of crystalline ZnTe2SeN at its relaxed geometry, from Alexandria.

The space group is P4/mmm (No. 123) and the conventional cell measures 5.552, 5.552 and 3.681 Å, with angles of 90.00, 90.00 and 90.00 degrees. Symmetry generates all atoms from Zn at (0.000, 0.000, 0.000), Te at (0.000, 0.500, 0.000), Se at (0.500, 0.500, 0.500) and N at (0.000, 0.000, 0.500).

For the uncorrected formation energy, the calculation gives 0.87 eV per atom. Its density of states at the Fermi level is 3.9 states/eV/f.u. The total DFT energy (no corrections) is -15.04 eV per cell.

The following is a PBE-GGA calculation of crystalline ZrTeSeN2 at its relaxed geometry, from Alexandria.

The space group is P4/mmm (No. 123) and the conventional cell measures 4.083, 4.083 and 5.265 Å, with angles of 90.00, 90.00 and 90.00 degrees. Symmetry generates all atoms from Zr at (0.000, 0.000, 0.000), Te at (0.500, 0.500, 0.500), Se at (0.500, 0.500, 0.000) and N at (0.000, 0.500, 0.500).

For the uncorrected formation energy, the calculation gives 1.00 eV per atom. Its density of states at the Fermi level is 3.6 states/eV/f.u. The total DFT energy (no corrections) is -26.82 eV per cell.